(1)
# CsCd9Pd2 | Alexandria | PBE | relaxed
# **SG**: P6/mmm (191)
# **Formation energy**: -1.929 eV/f.u.
data_CsCd9Pd2
_space_group_name_H-M_alt 'P 1'
_space_group_IT_number 1
_space_group_name_Hall 'P 1'
_cell_length_a 4.0611
_cell_length_b 9.3515
_cell_length_c 9.3515
_cell_angle_alpha 120.00
_cell_angle_beta 90.00
_cell_angle_gamma 90.00
loop_
_atom_site_label
_atom_site_type_symbol
_atom_site_fract_x
_atom_site_fract_y
_atom_site_fract_z
Cd1 Cd 0.5000 0.7925 0.2075
Cd2 Cd 0.5000 0.2075 0.7925
Cd3 Cd 0.0000 0.0000 0.5000
Cd4 Cd 0.0000 0.5000 0.0000
Cd5 Cd 0.5000 0.4150 0.2075
Cd6 Cd 0.5000 0.7925 0.5850
Cd7 Cd 0.5000 0.5850 0.7925
Cd8 Cd 0.5000 0.2075 0.4150
Cd9 Cd 0.0000 0.5000 0.5000
Pd1 Pd 0.0000 0.3333 0.6667
Pd2 Pd 0.0000 0.6667 0.3333
Cs1 Cs 0.0000 0.0000 0.0000


(2)
# Tl2BI | Alexandria | PBE | relaxed
# **Energy relative to the elements, uncorrected**: 0.29 eV/atom
# **SG**: I-42d (122)
# **Offset from the most stable computed form**: 0.000 eV per formula unit
data_Tl2BI
_space_group_name_H-M_alt 'P 1'
_space_group_IT_number 1
_space_group_name_Hall 'P 1'
_cell_length_a 6.6352
_cell_length_b 6.6352
_cell_length_c 7.3702
_cell_angle_alpha 63.25
_cell_angle_beta 63.25
_cell_angle_gamma 90.00
loop_
_atom_site_label
_atom_site_type_symbol
_atom_site_fract_x
_atom_site_fract_y
_atom_site_fract_z
B1 B 0.2500 0.7500 0.5000
B2 B 0.5000 0.5000 0.0000
Tl1 Tl 0.8750 0.7107 0.7500
Tl2 Tl 0.4607 0.1250 0.2500
Tl3 Tl 0.3750 0.5393 0.7500
Tl4 Tl 0.2893 0.6250 0.2500
I1 I 0.7500 0.2500 0.5000
I2 I 0.0000 0.0000 0.0000


(3)
# LuCuPdAu | Alexandria | PBE | relaxed
# **SG**: F-43m (216)
# **Formation energy**: -2.369 eV/f.u.
data_LuCuPdAu
_space_group_name_H-M_alt 'P 1'
_space_group_IT_number 1
_space_group_name_Hall 'P 1'
_cell_length_a 4.6484
_cell_length_b 4.6484
_cell_length_c 4.6484
_cell_angle_alpha 60.00
_cell_angle_beta 60.00
_cell_angle_gamma 60.00
loop_
_atom_site_label
_atom_site_type_symbol
_atom_site_fract_x
_atom_site_fract_y
_atom_site_fract_z
Cu1 Cu 0.5000 0.5000 0.5000
Au1 Au 0.7500 0.7500 0.7500
Pd1 Pd 0.2500 0.2500 0.2500
Lu1 Lu 0.0000 0.0000 0.0000


(4)
# Cr2NiBr | Alexandria | PBE | relaxed
# **Energy relative to the elements, uncorrected**: 0.53 eV/atom
# **SG**: P2/m (10)
# **Offset from the most stable computed form**: 0.659 eV per formula unit
data_Cr2NiBr
_space_group_name_H-M_alt 'P 1'
_space_group_IT_number 1
_space_group_name_Hall 'P 1'
_cell_length_a 3.0952
_cell_length_b 3.2680
_cell_length_c 6.4102
_cell_angle_alpha 89.93
_cell_angle_beta 90.00
_cell_angle_gamma 90.00
loop_
_atom_site_label
_atom_site_type_symbol
_atom_site_fract_x
_atom_site_fract_y
_atom_site_fract_z
Cr1 Cr 0.0000 0.7505 0.0885
Cr2 Cr 0.0000 0.7495 0.4115
Br1 Br 0.5000 0.7500 0.7500
Ni1 Ni 0.5000 0.2500 0.2500


(5)
# Ge2AuF | Alexandria | PBE | relaxed
# **Energy relative to the elements, uncorrected**: -0.39 eV/atom
# **SG**: I-42d (122)
# **Offset from the most stable computed form**: 0.272 eV per formula unit
data_Ge2AuF
_space_group_name_H-M_alt 'P 1'
_space_group_IT_number 1
_space_group_name_Hall 'P 1'
_cell_length_a 4.5600
_cell_length_b 4.5600
_cell_length_c 8.1737
_cell_angle_alpha 73.80
_cell_angle_beta 73.80
_cell_angle_gamma 90.00
loop_
_atom_site_label
_atom_site_type_symbol
_atom_site_fract_x
_atom_site_fract_y
_atom_site_fract_z
Ge1 Ge 0.8750 0.7983 0.7500
Ge2 Ge 0.2017 0.6250 0.2500
Ge3 Ge 0.5483 0.1250 0.2500
Ge4 Ge 0.3750 0.4517 0.7500
Au1 Au 0.0000 0.0000 0.0000
Au2 Au 0.7500 0.2500 0.5000
F1 F 0.2500 0.7500 0.5000
F2 F 0.5000 0.5000 0.0000


(6)
# Y2Mg3In3 | Alexandria | PBE | relaxed
# **SG**: Pmmm (47)
# **Formation energy**: -2.831 eV/f.u.
data_Y2Mg3In3
_space_group_name_H-M_alt 'P 1'
_space_group_IT_number 1
_space_group_name_Hall 'P 1'
_cell_length_a 4.6786
_cell_length_b 4.6128
_cell_length_c 9.0377
_cell_angle_alpha 90.00
_cell_angle_beta 90.00
_cell_angle_gamma 90.00
loop_
_atom_site_label
_atom_site_type_symbol
_atom_site_fract_x
_atom_site_fract_y
_atom_site_fract_z
In1 In 0.0000 0.5000 0.0000
In2 In 0.0000 0.5000 0.5000
In3 In 0.5000 0.0000 0.5000
Mg1 Mg 0.5000 0.5000 0.7524
Mg2 Mg 0.5000 0.0000 0.0000
Mg3 Mg 0.5000 0.5000 0.2476
Y1 Y 0.0000 0.0000 0.7474
Y2 Y 0.0000 0.0000 0.2526


(7)
# CsZrAgSe3 | Alexandria | PBE | relaxed
# **Energy relative to the elements, uncorrected**: -1.01 eV/atom
# **SG**: Cmcm (63)
data_CsZrAgSe3
_space_group_name_H-M_alt 'P 1'
_space_group_IT_number 1
_space_group_name_Hall 'P 1'
_cell_length_a 7.3080
_cell_length_b 7.4485
_cell_length_c 7.9492
_cell_angle_alpha 117.94
_cell_angle_beta 90.00
_cell_angle_gamma 90.00
loop_
_atom_site_label
_atom_site_type_symbol
_atom_site_fract_x
_atom_site_fract_y
_atom_site_fract_z
Zr1 Zr 0.2500 0.0548 0.1097
Zr2 Zr 0.7500 0.9452 0.8903
Ag1 Ag 0.7500 0.5810 0.1619
Ag2 Ag 0.2500 0.4190 0.8381
Se1 Se 0.0000 0.7551 0.0000
Se2 Se 0.7500 0.7688 0.5377
Se3 Se 0.0000 0.2449 0.0000
Se4 Se 0.2500 0.2312 0.4623
Se5 Se 0.5000 0.2449 0.0000
Se6 Se 0.5000 0.7551 0.0000
Cs1 Cs 0.2500 0.7284 0.4567
Cs2 Cs 0.7500 0.2716 0.5433


(8)
# LiSm3Er2S6 | Alexandria | PBE | relaxed
# **Energy relative to the elements, uncorrected**: -1.96 eV/atom
# **SG**: C2/m (12)
data_LiSm3Er2S6
_space_group_name_H-M_alt 'P 1'
_space_group_IT_number 1
_space_group_name_Hall 'P 1'
_cell_length_a 6.7739
_cell_length_b 6.7739
_cell_length_c 6.8449
_cell_angle_alpha 99.51
_cell_angle_beta 99.51
_cell_angle_gamma 120.15
loop_
_atom_site_label
_atom_site_type_symbol
_atom_site_fract_x
_atom_site_fract_y
_atom_site_fract_z
Er1 Er 0.6656 0.3344 0.0000
Er2 Er 0.3344 0.6656 0.0000
S1 S 0.0780 0.4068 0.2351
S2 S 0.7504 0.7504 0.2318
S3 S 0.4068 0.0780 0.2351
S4 S 0.9220 0.5932 0.7649
S5 S 0.2496 0.2496 0.7682
S6 S 0.5932 0.9220 0.7649
Sm1 Sm 0.8350 0.1650 0.5000
Sm2 Sm 0.5000 0.5000 0.5000
Sm3 Sm 0.1650 0.8350 0.5000
Li1 Li 0.0000 0.0000 0.0000


Electronic total energy: -1.7837; -2.9456; -4.8640; -6.1453; -3.9886; -3.5948; -4.7931; -6.1208 (eV/atom)
Total magnetization: 0.000; 0.000; 0.000; 0.394; 0.000; 0.000; 0.000; 0.000 (μB per atom)